# 1
{
  "formula": "Tm8VBi2",
  "functional": "PBE",
  "state": "optimized geometry",
  "space_group": "Immm, No. 71",
  "ef_ev_per_atom": -0.122,
  "final_energy_ev_per_atom": -4.9084,
  "n_ef_per_ev_atom": 1.063,
  "cell": [[-2.075, 4.832, -1.512], [-6.396, -3.023, -0.884], [2.456, 0.671, 8.676]],
  "species": ["Bi", "Bi", "Tm", "Tm", "Tm", "Tm", "Tm", "Tm", "Tm", "Tm", "V"],
  "frac_coords": [[0.188, 0.688, 0.376], [0.812, 0.312, 0.624], [0.623, 0.393, 0.247], [0.377, 0.607, 0.753], [0.376, 0.145, 0.753], [0.000, 0.759, 0.000], [0.184, 0.184, 0.368], [0.816, 0.816, 0.632], [0.624, 0.855, 0.247], [0.000, 0.241, 0.000], [0.500, 0.000, 0.000]]
}

***

# 2
{
  "formula": "YTm3Bi4",
  "functional": "PBE",
  "state": "optimized geometry",
  "space_group": "Pm-3m, No. 221",
  "ef_ev_per_atom": -0.815,
  "final_energy_ev_per_atom": -5.2402,
  "n_ef_per_ev_atom": 0.070,
  "cell": [[-4.504, 0.574, 4.344], [-1.592, -6.018, -0.856], [4.082, -1.714, 4.459]],
  "species": ["Y", "Tm", "Bi", "Bi", "Tm", "Bi", "Tm", "Bi"],
  "frac_coords": [[0.000, 0.000, 0.000], [0.500, 0.500, 0.000], [0.500, 0.000, 0.000], [0.000, 0.500, 0.000], [0.500, 0.000, 0.500], [0.500, 0.500, 0.500], [0.000, 0.500, 0.500], [0.000, 0.000, 0.500]]
}

***

# 3
{
  "formula": "YTm4Bi2",
  "functional": "PBE",
  "state": "optimized geometry",
  "space_group": "I4/mmm, No. 139",
  "ef_ev_per_atom": 0.413,
  "final_energy_ev_per_atom": -4.1742,
  "n_ef_per_ev_atom": 0.959,
  "cell": [[5.309, 0.000, 0.000], [0.000, 5.309, 0.000], [-2.655, -2.655, 8.277]],
  "species": ["Tm", "Tm", "Y", "Bi", "Tm", "Tm", "Bi"],
  "frac_coords": [[0.181, 0.181, 0.363], [0.000, 0.500, 0.000], [0.000, 0.000, 0.000], [0.634, 0.634, 0.269], [0.819, 0.819, 0.637], [0.500, 0.000, 0.000], [0.366, 0.366, 0.731]]
}

***

Question: What is the formula in the third record?
Answer: YTm4Bi2